w) First-principles (meta-GGA SCAN) data for a PBEsol-optimized structure of CrSiP, as listed in Alexandria.

## Properties
As for the magnetic moment: 1.3 μB/f.u.

Cell lengths 4.091, 4.091, 2.524 Å; angles 90.00, 90.00, 120.00 degrees
Fractional coordinates of all 3 atoms:
Cr: 0.000 0.000 0.000
Si: 0.667 0.333 0.500
P: 0.333 0.667 0.000


x) First-principles (meta-GGA SCAN) data for a PBEsol-optimized structure of CrSiP, as listed in Alexandria.

## Properties
As for the magnetic moment: 1.7 μB/f.u.

Cell lengths 6.401, 6.401, 3.174 Å; angles 90.00, 90.00, 120.00 degrees
Fractional coordinates of all 9 atoms:
Cr: 0.000 0.738 0.000
Cr: 0.262 0.262 0.000
Cr: 0.738 0.000 0.000
Si: 0.000 0.000 0.500
Si: 0.333 0.667 0.000
Si: 0.667 0.333 0.000
P: 0.000 0.368 0.500
P: 0.368 0.000 0.500
P: 0.632 0.632 0.500


Name the most stable of them. w).


w) First-principles (meta-GGA SCAN) data for a PBEsol-optimized structure of Tl2CrP, as listed in Alexandria.

## Properties
As for the magnetic moment: 3.3 μB/f.u.

Cell lengths 3.547, 5.748, 5.748 Å; angles 45.30, 90.00, 90.00 degrees
Fractional coordinates of all 4 atoms:
Tl: 0.000 0.000 0.000
Tl: 0.500 0.304 0.304
Cr: 0.000 0.725 0.725
P: 0.500 0.589 0.589


x) First-principles (meta-GGA SCAN) data for a PBEsol-optimized structure of Tl2CrP, as listed in Alexandria.

## Properties
As for the magnetic moment: 2.9 μB/f.u.

Cell lengths 3.093, 3.093, 8.389 Å; angles 90.00, 90.00, 90.00 degrees
Fractional coordinates of all 4 atoms:
Tl: 0.000 0.000 0.000
Tl: 0.500 0.500 0.354
Cr: 0.000 0.000 0.617
P: 0.500 0.500 0.717


y) First-principles (meta-GGA SCAN) data for a PBEsol-optimized structure of Tl2CrP, as listed in Alexandria.

## Properties
As for the magnetic moment: 4.3 μB/f.u.

Cell lengths 4.245, 4.245, 4.702 Å; angles 90.00, 90.00, 90.00 degrees
Fractional coordinates of all 4 atoms:
Tl: 0.000 0.500 0.000
Tl: 0.500 0.000 0.000
Cr: 0.000 0.000 0.500
P: 0.500 0.500 0.500


Name the most stable of them. x).


w) First-principles (meta-GGA SCAN) data for a PBEsol-optimized structure of ZnCr2P, as listed in Alexandria.

## Properties
As for the magnetic moment: 3.4 μB/f.u.

Cell lengths 2.818, 2.818, 5.985 Å; angles 90.00, 90.00, 90.00 degrees
Fractional coordinates of all 4 atoms:
Zn: 0.000 0.000 0.000
Cr: 0.500 0.500 0.291
Cr: 0.500 0.500 0.709
P: 0.000 0.000 0.500


x) First-principles (meta-GGA SCAN) data for a PBEsol-optimized structure of ZnCr2P, as listed in Alexandria.

## Properties
As for the magnetic moment: 0.8 μB/f.u.

Cell lengths 4.066, 4.066, 4.066 Å; angles 60.00, 60.00, 60.00 degrees
Fractional coordinates of all 4 atoms:
Zn: 0.000 0.000 0.000
Cr: 0.500 0.500 0.500
Cr: 0.750 0.750 0.750
P: 0.250 0.250 0.250


Name the most stable of them. w).